Below is an optimized crystal structure of SrSi3Rh5, with properties calculated at the PBE level.

a b c (Å): 3.9450 6.5650 12.2885
angles (deg): 90.00 90.00 107.49
Last column: nearest neighbours and their distance in Å.
Atoms (fractional coordinates):
Sr 0.8338 0.6677 0.7500  7 Si 3.33-3.45, 10 Rh 3.41-3.71
Sr 0.1662 0.3323 0.2500  7 Si 3.33-3.45, 10 Rh 3.41-3.71
Si 0.3822 0.7643 0.9632  7 Rh 2.31-2.58
Si 0.8905 0.7809 0.2500  6 Rh 2.48-2.49
Si 0.3822 0.7643 0.5368  7 Rh 2.31-2.58
Si 0.6178 0.2357 0.4632  7 Rh 2.31-2.58
Si 0.1095 0.2191 0.7500  6 Rh 2.48-2.49
Si 0.6178 0.2357 0.0368  7 Rh 2.31-2.58
Rh 0.7996 0.5992 0.4304  4 Si 2.31-2.58
Rh 0.2004 0.4008 0.9304  4 Si 2.31-2.58
Rh 0.0000 0.0000 0.5000  4 Si 2.50, 6 Rh 2.65-2.72
Rh 0.0000 0.0000 0.0000  4 Si 2.50, 6 Rh 2.65-2.72
Rh 0.4498 0.8996 0.1439  4 Si 2.38-2.48, 1 Rh 2.61
Rh 0.5502 0.1004 0.8561  4 Si 2.38-2.48, 1 Rh 2.61
Rh 0.5502 0.1004 0.6439  4 Si 2.38-2.48, 1 Rh 2.61
Rh 0.7996 0.5992 0.0696  4 Si 2.31-2.58
Rh 0.2004 0.4008 0.5696  4 Si 2.31-2.58
Rh 0.4498 0.8996 0.3561  4 Si 2.38-2.48, 1 Rh 2.61

Electronic total energy = -0.2498 hartree per atom



Below is an optimized crystal structure of CaPt2Cl, with properties calculated at the PBE level.

a b c (Å): 4.4067 4.4067 7.3507
angles (deg): 75.29 75.29 52.99
Last column: nearest neighbours and their distance in Å.
Atoms (fractional coordinates):
Ca 0.4910 0.4910 0.5196  3 Cl 2.79-2.85
Pt 0.0449 0.0449 0.8312  3 Pt 2.42-2.49
Pt 0.7399 0.7399 0.8223  3 Pt 2.42-2.49
Cl 0.2243 0.2243 0.3269  3 Ca 2.79-2.85

Energy above the lowest structure with this stoichiometry = 0.1147 eV per atom



Below is an optimized crystal structure of MnTc2Ru, with properties calculated at the PBE level.

a b c (Å): 4.6776 4.6776 4.6367
angles (deg): 80.66 80.66 33.60
Last column: nearest neighbours and their distance in Å.
Atoms (fractional coordinates):
Mn 0.2500 0.2500 0.2500  6 Tc 2.67-2.71, 4 Ru 2.68, 2 Mn 2.70
Ru 0.7500 0.7500 0.7500  4 Mn 2.68, 6 Tc 2.69-2.71, 2 Ru 2.70
Tc 0.0018 0.0018 0.0003  3 Mn 2.67-2.71, 6 Tc 2.68-2.70, 3 Ru 2.69-2.71
Tc 0.4982 0.4982 0.4997  3 Mn 2.67-2.71, 6 Tc 2.68-2.70, 3 Ru 2.69-2.71

Energy above the lowest structure with this stoichiometry = 0.0364 eV per atom
ΔH_f (0 K) = 0.0921 eV/atom



Below is an optimized crystal structure of CsHgBi, with properties calculated at the PBE level.

a b c (Å): 8.9382 8.0056 4.8669
angles (deg): 90.10 74.10 123.51
Last column: nearest neighbours and their distance in Å.
Atoms (fractional coordinates):
Cs 0.3821 0.9576 0.2381  4 Hg 3.98-4.09, 4 Bi 4.06-4.10
Cs 0.7243 0.6307 0.5675  4 Hg 3.84-4.12, 4 Bi 4.01-4.16
Hg 0.3052 0.4172 0.2788  2 Hg 3.18, 1 Bi 3.31
Hg 0.1087 0.1087 0.8765  2 Hg 3.18, 1 Bi 3.48
Bi 0.0137 0.4771 0.9221  2 Bi 3.07
Bi 0.8401 0.1924 0.5085  2 Bi 3.07, 1 Hg 3.31

ΔH_f (0 K) = -0.2818 eV/atom



Q: What is the formula in the second record?
A: CaPt2Cl



Q: Number 4 is which compound?
A: CsHgBi